Material: ZrFeCl2
Method: DFT, GGA-PBE
State: relaxed

Symmetry ... P4/mmm (123)
Polymorph energy (0 for the lowest one) ... 660.3 meV per atom
Formation energy without anion corrections ... -0.2 eV per formula unit

Lattice parameters (Å, degrees): 3.3539 3.3539 6.0752 90.00 90.00 90.00
Element x y z (fractional)
Zr  0.0000  0.0000  0.0000
Fe  0.0000  0.0000  0.5000
Cl  0.5000  0.5000  0.2407
Cl  0.5000  0.5000  0.7593